1.
A plane-wave DFT calculation with PBE-GGA was carried out for a relaxed PrSm2Y3Se6 crystal. Values from VASP.

```
&SYSTEM
  ibrav = 0, nat = 12, ntyp = 4
/
ATOMIC_SPECIES
Pr 140.91 Pr.upf
Sm 150.36 Sm.upf
Y 88.91 Y.upf
Se 78.96 Se.upf
ATOMIC_POSITIONS crystal
Pr 0.000 0.000 0.000
Sm 0.334 0.666 0.000
Sm 0.666 0.334 0.000
Y 0.164 0.836 0.500
Y 0.500 0.500 0.500
Y 0.836 0.164 0.500
Se 0.087 0.426 0.261
Se 0.252 0.252 0.741
Se 0.426 0.087 0.261
Se 0.574 0.913 0.739
Se 0.748 0.748 0.259
Se 0.913 0.574 0.739
CELL_PARAMETERS angstrom
3.564 -6.208 0.000
3.564 6.208 0.000
-2.389 0.000 6.826
```

Results
As for the uncorrected formation energy: -1.80 eV/atom. The value obtained for the final energy is -6.343 eV per atom. Its magnetization is 0.00 μB per formula unit.


2.
A plane-wave DFT calculation with PBE-GGA was carried out for a relaxed CdInTe2 crystal. Values from VASP.

```
&SYSTEM
  ibrav = 0, nat = 12, ntyp = 3
/
ATOMIC_SPECIES
Cd 112.41 Cd.upf
In 114.82 In.upf
Te 127.60 Te.upf
ATOMIC_POSITIONS crystal
Cd 0.000 0.671 0.333
Cd 0.329 0.329 0.000
Cd 0.671 0.000 0.667
In 0.000 0.665 0.833
In 0.335 0.335 0.500
In 0.665 0.000 0.167
Te 0.004 0.667 0.725
Te 0.333 0.338 0.392
Te 0.338 0.333 0.608
Te 0.662 0.996 0.059
Te 0.667 0.004 0.275
Te 0.996 0.662 0.941
CELL_PARAMETERS angstrom
4.542 0.000 0.000
-2.271 3.933 0.000
0.000 0.000 25.902
```

Results
As for the uncorrected formation energy: 0.02 eV/atom. The value obtained for the final energy is -2.463 eV per atom. Its magnetization is 0.00 μB per formula unit.


3.
A plane-wave DFT calculation with PBE-GGA was carried out for a relaxed Ac6Ge2Se3N crystal. Values from VASP.

```
&SYSTEM
  ibrav = 0, nat = 12, ntyp = 4
/
ATOMIC_SPECIES
Ac 227.00 Ac.upf
Ge 72.64 Ge.upf
Se 78.96 Se.upf
N 14.01 N.upf
ATOMIC_POSITIONS crystal
Ac 0.076 0.387 0.227
Ac 0.234 0.234 0.774
Ac 0.387 0.076 0.227
Ac 0.613 0.924 0.773
Ac 0.766 0.766 0.226
Ac 0.924 0.613 0.773
Ge 0.334 0.666 0.000
Ge 0.666 0.334 0.000
Se 0.173 0.827 0.500
Se 0.500 0.500 0.500
Se 0.827 0.173 0.500
N 0.000 0.000 0.000
CELL_PARAMETERS angstrom
3.828 -6.626 0.000
3.828 6.626 0.000
-2.562 0.000 7.368
```

Results
As for the uncorrected formation energy: -1.36 eV/atom. The value obtained for the final energy is -5.750 eV per atom. Its magnetization is 0.00 μB per formula unit.


4.
A plane-wave DFT calculation with PBE-GGA was carried out for a relaxed PuZr2Cu crystal. Values from VASP.

```
&SYSTEM
  ibrav = 0, nat = 4, ntyp = 3
/
ATOMIC_SPECIES
Pu 244.00 Pu.upf
Zr 91.22 Zr.upf
Cu 63.55 Cu.upf
ATOMIC_POSITIONS crystal
Pu 0.000 0.000 0.000
Zr 0.240 0.240 0.240
Zr 0.425 0.425 0.425
Cu 0.832 0.832 0.832
CELL_PARAMETERS angstrom
1.613 0.931 9.533
-1.613 0.931 9.533
0.000 -1.862 9.533
```

Results
The formation energy comes out at 0.7 eV per formula unit. The value obtained for the final energy is -8.708 eV per atom. Its magnetization is 5.20 μB per formula unit. Its distance to the lowest polymorph of the same formula is 173.4 meV per atom.


5.
A plane-wave DFT calculation with PBE-GGA was carried out for a relaxed PmMg15Pb4 crystal. Values from VASP.

```
&SYSTEM
  ibrav = 0, nat = 20, ntyp = 3
/
ATOMIC_SPECIES
Pm 145.00 Pm.upf
Mg 24.30 Mg.upf
Pb 207.20 Pb.upf
ATOMIC_POSITIONS crystal
Pm 0.000 0.000 0.000
Mg 0.000 0.500 0.104
Mg 0.000 0.500 0.303
Mg 0.000 0.500 0.500
Mg 0.000 0.500 0.697
Mg 0.000 0.500 0.896
Mg 0.500 0.000 0.104
Mg 0.500 0.000 0.303
Mg 0.500 0.000 0.500
Mg 0.500 0.000 0.697
Mg 0.500 0.000 0.896
Mg 0.500 0.500 0.000
Mg 0.500 0.500 0.207
Mg 0.500 0.500 0.401
Mg 0.500 0.500 0.599
Mg 0.500 0.500 0.793
Pb 0.000 0.000 0.199
Pb 0.000 0.000 0.400
Pb 0.000 0.000 0.600
Pb 0.000 0.000 0.801
CELL_PARAMETERS angstrom
4.647 0.000 0.000
0.000 4.647 0.000
0.000 0.000 22.749
```

Results
The formation energy comes out at -1.0 eV per formula unit. The value obtained for the final energy is -2.226 eV per atom. Its magnetization is 0.00 μB per formula unit.


6.
A plane-wave DFT calculation with PBE-GGA was carried out for a relaxed TlPt2W crystal. Values from VASP.

```
&SYSTEM
  ibrav = 0, nat = 4, ntyp = 3
/
ATOMIC_SPECIES
Tl 204.38 Tl.upf
Pt 195.08 Pt.upf
W 183.84 W.upf
ATOMIC_POSITIONS crystal
Tl 0.000 0.000 0.000
Pt 0.500 0.500 0.288
Pt 0.500 0.500 0.712
W 0.000 0.000 0.500
CELL_PARAMETERS angstrom
2.908 0.000 0.000
0.000 2.908 0.000
0.000 0.000 8.536
```

Results
The formation energy comes out at -0.1 eV per formula unit. The value obtained for the final energy is -6.870 eV per atom. Its magnetization is 0.00 μB per formula unit. Its distance to the lowest polymorph of the same formula is 24.8 meV per atom.


7.
A plane-wave DFT calculation with PBE-GGA was carried out for a relaxed RbOs2RuO8 crystal. Values from VASP.

```
&SYSTEM
  ibrav = 0, nat = 12, ntyp = 4
/
ATOMIC_SPECIES
Rb 85.47 Rb.upf
Os 190.23 Os.upf
Ru 101.07 Ru.upf
O 16.00 O.upf
ATOMIC_POSITIONS crystal
Rb 0.000 0.000 0.000
Os 0.333 0.667 0.708
Os 0.667 0.333 0.292
Ru 0.000 0.000 0.500
O 0.033 0.325 0.633
O 0.292 0.967 0.633
O 0.325 0.292 0.367
O 0.333 0.667 0.908
O 0.667 0.333 0.092
O 0.675 0.708 0.633
O 0.708 0.033 0.367
O 0.967 0.675 0.367
CELL_PARAMETERS angstrom
5.259 0.000 0.000
-2.629 4.554 0.000
0.000 0.000 8.870
```

Results
As for the uncorrected formation energy: -0.98 eV/atom. The value obtained for the final energy is -7.006 eV per atom. Its magnetization is 0.10 μB per formula unit.


8.
A plane-wave DFT calculation with PBE-GGA was carried out for a relaxed AgSnPt3 crystal. Values from VASP.

```
&SYSTEM
  ibrav = 0, nat = 5, ntyp = 3
/
ATOMIC_SPECIES
Ag 107.87 Ag.upf
Sn 118.71 Sn.upf
Pt 195.08 Pt.upf
ATOMIC_POSITIONS crystal
Ag 0.000 0.000 0.000
Sn 0.500 0.500 0.500
Pt 0.000 0.500 0.500
Pt 0.500 0.000 0.500
Pt 0.500 0.500 0.000
CELL_PARAMETERS angstrom
4.945 0.000 0.000
0.000 4.945 0.000
0.000 0.000 4.945
```

Results
The formation energy comes out at 4.3 eV per formula unit. The value obtained for the final energy is -4.136 eV per atom. Its magnetization is 0.00 μB per formula unit. Its distance to the lowest polymorph of the same formula is 0.0 meV per atom.


9.
A plane-wave DFT calculation with PBE-GGA was carried out for a relaxed Er3SbC crystal. Values from VASP.

```
&SYSTEM
  ibrav = 0, nat = 10, ntyp = 3
/
ATOMIC_SPECIES
Er 167.26 Er.upf
Sb 121.76 Sb.upf
C 12.01 C.upf
ATOMIC_POSITIONS crystal
Er 0.046 0.046 0.345
Er 0.161 0.161 0.943
Er 0.324 0.324 0.369
Er 0.676 0.676 0.631
Er 0.839 0.839 0.057
Er 0.954 0.954 0.655
Sb 0.334 0.334 0.769
Sb 0.666 0.666 0.231
C 0.099 0.099 0.641
C 0.901 0.901 0.359
CELL_PARAMETERS angstrom
7.945 -2.054 0.000
7.945 2.054 0.000
-1.791 0.000 7.992
```

Results
As for the uncorrected formation energy: -0.45 eV/atom. The value obtained for the final energy is -5.856 eV per atom. Its magnetization is 0.26 μB per formula unit.